A plane-wave DFT calculation with PBE was carried out for CsTl2F6 after structural relaxation.

a b c (Å): 6.302 6.302 6.109
angles (deg): 90.00 90.00 120.00
Element x y z (fractional)
Cs: 0.000 0.000 0.000
Tl: 0.333 0.667 0.500
Tl: 0.667 0.333 0.500
F: 0.612 0.000 0.301
F: 0.388 0.388 0.301
F: 0.000 0.612 0.301
F: 0.612 0.612 0.699
F: 0.000 0.388 0.699
F: 0.388 0.000 0.699

formation energy from raw total energies	-2.043	eV/atom
DOS at the Fermi energy	2.763	states/eV/f.u.
ρ	5.2	g cm⁻³